Entry from Alexandria via LeMat-Bulk: a relaxed NiMo2RhN crystal (PBE).

Values from the calculation:
Its volume is 12.8 Å³/atom. As for the total magnetic moment: 0.00 μB/atom. The value obtained for the formation energy without anion corrections is -0.099 eV/atom. The density of states at the Fermi level comes out at 6.51 states/eV/f.u.

abc: 4.0828 4.0828 3.8346
angles: 90.00 90.00 90.00
With the nearest neighbours (Å) after each atom.
Fractional coordinates of all 5 atoms:
Ni1 0.0000 0.0000 0.5000  2 N 1.92
Mo1 0.0000 0.5000 0.0000  2 N 2.04
Mo2 0.5000 0.0000 0.0000  2 N 2.04
Rh1 0.5000 0.5000 0.5000  8 Mo 2.80, 4 Ni 2.89
N1 0.0000 0.0000 0.0000  2 Ni 1.92, 4 Mo 2.04